1.
DFT (GGA-PBE) results for a relaxed structure of Zn4CuNi3.

Values from the calculation:
- E_form: -0.189 eV per atom
- Total magnetization: 0.00 μB per atom
- Volume: 98.7 Å³ per cell
- Density of states at the Fermi level: 4.0 states/eV/f.u.
- Symmetry: I4/mmm

Lattice parameters (Å, degrees): 4.201 4.201 6.334 109.42 109.37 90.00
Sites, in units of the cell vectors:
Ni 0.249 0.749 0.498
Zn 0.873 0.873 0.747
Zn 0.373 0.374 0.747
Cu 0.500 0.000 0.000
Ni 0.000 0.500 0.000
Zn 0.627 0.626 0.253
Ni 0.751 0.251 0.502
Zn 0.127 0.127 0.253

---

2.
DFT (GGA-PBE) results for a relaxed structure of Zn2Cu8Ni3.

Values from the calculation:
- E_form: 0.127 eV per atom
- Total magnetization: 0.00 μB per atom
- Volume: 168.4 Å³ per cell
- Density of states at the Fermi level: 7.9 states/eV/f.u.
- Symmetry: C2/m
- Distance to the lowest polymorph of the same formula: 0.0758 eV per atom

Lattice parameters (Å, degrees): 4.758 6.738 6.275 122.47 96.02 90.00
Sites, in units of the cell vectors:
Cu 0.230 0.796 0.592
Zn 0.260 0.193 0.386
Cu 0.554 0.566 0.771
Zn 0.740 0.807 0.614
Cu 0.770 0.204 0.408
Cu 0.446 0.795 0.229
Cu 0.554 0.205 0.771
Cu 0.904 0.597 0.193
Cu 0.446 0.434 0.229
Ni 0.000 0.174 0.000
Ni 0.000 0.826 0.000
Ni 0.500 0.000 0.000
Cu 0.096 0.403 0.807

---

3.
DFT (GGA-PBE) results for a relaxed structure of Zn2CuNi.

Values from the calculation:
- E_form: -0.030 eV per atom
- Total magnetization: 0.02 μB per atom
- Volume: 51.7 Å³ per cell
- Density of states at the Fermi level: 2.3 states/eV/f.u.
- Symmetry: R3m

Lattice parameters (Å, degrees): 8.844 8.844 8.844 17.02 17.02 17.02
Sites, in units of the cell vectors:
Zn 0.007 0.007 0.007
Ni 0.752 0.752 0.752
Zn 0.245 0.245 0.245
Cu 0.496 0.496 0.496

---

4.
DFT (GGA-PBE) results for a relaxed structure of Zn3Cu2Ni2.

Values from the calculation:
- E_form: -0.107 eV per atom
- Total magnetization: 0.00 μB per atom
- Volume: 87.8 Å³ per cell
- Density of states at the Fermi level: 2.8 states/eV/f.u.
- Symmetry: Cmmm

Lattice parameters (Å, degrees): 3.624 2.603 9.478 90.00 78.98 90.00
Sites, in units of the cell vectors:
Zn 0.000 0.000 0.000
Cu 0.707 0.500 0.586
Cu 0.293 0.500 0.414
Ni 0.430 0.500 0.139
Zn 0.858 0.000 0.284
Zn 0.142 0.000 0.716
Ni 0.570 0.500 0.861

---

5.
DFT (GGA-PBE) results for a relaxed structure of ZnCu3Ni.

Values from the calculation:
- E_form: -0.022 eV per atom
- Total magnetization: 0.00 μB per atom
- Volume: 120.9 Å³ per cell
- Density of states at the Fermi level: 2.2 states/eV/f.u.
- Symmetry: C2/m
- Distance to the lowest polymorph of the same formula: 0.0000 eV per atom

Lattice parameters (Å, degrees): 4.134 4.861 7.005 106.56 90.00 115.17
Sites, in units of the cell vectors:
Cu 0.652 0.303 0.048
Ni 0.051 0.102 0.854
Cu 0.754 0.508 0.755
Zn 0.452 0.904 0.659
Cu 0.851 0.702 0.450
Cu 0.348 0.697 0.952
Zn 0.548 0.096 0.341
Ni 0.949 0.898 0.146
Cu 0.149 0.298 0.550
Cu 0.246 0.492 0.245

---

6.
DFT (GGA-PBE) results for a relaxed structure of ZnCu4Ni4.

Values from the calculation:
- E_form: -0.037 eV per atom
- Total magnetization: 0.00 μB per atom
- Volume: 103.9 Å³ per cell
- Density of states at the Fermi level: 8.7 states/eV/f.u.
- Symmetry: I4/mmm

Lattice parameters (Å, degrees): 3.627 5.652 5.652 84.09 71.28 71.28
Sites, in units of the cell vectors:
Cu 0.669 0.000 0.662
Ni 0.000 0.661 0.339
Cu 0.669 0.662 0.000
Cu 0.331 0.000 0.338
Ni 0.000 0.339 0.661
Ni 0.661 0.339 0.339
Ni 0.339 0.661 0.661
Cu 0.331 0.338 0.000
Zn 0.000 0.000 0.000